{
  "formula": "NpCo2O6",
  "functional": "GGA+U",
  "state": "relaxed",
  "cell": [[-3.599, -2.660, -0.846], [4.112, -6.754, 3.742], [-5.035, 5.276, 4.831]],
  "species": ["O", "Co", "O", "O", "O", "O", "O", "O", "O", "O", "Co", "Co", "O", "O", "Np", "O", "Co", "Co", "O", "O", "Np", "O", "O", "Np", "O", "O", "Co"],
  "fractional_positions": [[0.275, 0.438, 0.220], [0.500, 0.320, 0.320], [0.739, 0.573, 0.106], [0.275, 0.782, 0.562], [0.725, 0.218, 0.780], [0.261, 0.466, 0.894], [0.275, 0.780, 0.218], [0.261, 0.427, 0.534], [0.754, 0.223, 0.115], [0.246, 0.115, 0.223], [0.500, 0.000, 0.680], [0.000, 0.000, 0.346], [0.754, 0.885, 0.108], [0.246, 0.777, 0.892], [0.507, 0.667, 0.333], [0.739, 0.534, 0.427], [0.000, 0.346, 0.000], [0.000, 0.654, 0.654], [0.754, 0.892, 0.777], [0.739, 0.894, 0.466], [0.493, 0.333, 0.667], [0.725, 0.562, 0.782], [0.261, 0.106, 0.573], [0.000, 0.000, 0.000], [0.246, 0.108, 0.885], [0.725, 0.220, 0.438], [0.500, 0.680, 0.000]],
  "space_group": "No. 150",
  "dft_energy_ev_per_cell": -203.969
}